Material: DyFeO3
Method: DFT, PBE+U
State: relaxed

Geometry as POSCAR:
```
DyFeO3
1.0
5.334 0.000 0.000
0.000 5.647 0.000
0.000 0.000 7.718
O Dy Fe
12 4 4
Direct
0.192 0.195 0.940
0.692 0.305 0.440
0.308 0.695 0.940
0.617 0.043 0.750
0.808 0.805 0.060
0.383 0.957 0.250
0.117 0.457 0.250
0.192 0.195 0.560
0.692 0.305 0.060
0.808 0.805 0.440
0.883 0.543 0.750
0.308 0.695 0.560
0.980 0.069 0.250
0.020 0.931 0.750
0.480 0.431 0.750
0.520 0.569 0.250
0.000 0.500 0.500
0.500 0.000 0.000
0.500 0.000 0.500
0.000 0.500 0.000
```

**SG**: Pnma, No. 62
**M_tot**: 5.0 μB per formula unit
**Volume**: 232.48 Å³/cell
**Total energy**: -7.571 eV/atom